i | MnNi2W | GGA-PBEsol | relaxed

a b c (Å): 3.5206 3.5206 3.7490
angles (deg): 90.00 90.00 90.00
Last column: nearest neighbours and their distance in Å.
Sites, in units of the cell vectors:
1 Ni 0.0000 0.5000 0.0000  4 Ni 2.49, 4 Mn 2.57, 4 W 2.57
2 Ni 0.5000 0.0000 0.0000  4 Ni 2.49, 4 Mn 2.57, 4 W 2.57
3 Mn 0.0000 0.0000 0.5000  4 W 2.49, 8 Ni 2.57
4 W 0.5000 0.5000 0.5000  4 Mn 2.49, 8 Ni 2.57

## Properties
* volume: 46.5 Å³/cell
* space group: No. 123
* calculated density: 12.73 g cm⁻³


ii | MnNi2W | GGA-PBEsol | relaxed

a b c (Å): 4.1126 4.1126 4.1126
angles (deg): 60.00 60.00 60.00
Last column: nearest neighbours and their distance in Å.
Sites, in units of the cell vectors:
1 Mn 0.0000 0.0000 0.0000  8 Ni 2.52
2 Ni 0.2500 0.2500 0.2500  4 W 2.52, 4 Mn 2.52
3 Ni 0.7500 0.7500 0.7500  4 Mn 2.52, 4 W 2.52
4 W 0.5000 0.5000 0.5000  8 Ni 2.52

## Properties
* volume: 49.2 Å³/cell
* space group: No. 225
* calculated density: 12.02 g cm⁻³


Which one sits at the bottom of the stability order? ii does.


i | MnNi2W | GGA-PBEsol | relaxed

a b c (Å): 4.0564 4.0564 4.0564
angles (deg): 60.00 60.00 60.00
Last column: nearest neighbours and their distance in Å.
Sites, in units of the cell vectors:
1 Mn 0.5000 0.5000 0.5000  4 W 2.48, 4 Ni 2.48
2 Ni 0.0000 0.0000 0.0000  4 Ni 2.48, 4 W 2.48
3 Ni 0.7500 0.7500 0.7500  4 Mn 2.48, 4 Ni 2.48
4 W 0.2500 0.2500 0.2500  4 Mn 2.48, 4 Ni 2.48

## Properties
* volume: 47.2 Å³/cell
* space group: No. 216
* calculated density: 12.53 g cm⁻³


ii | MnNi2W | GGA-PBEsol | relaxed

a b c (Å): 3.5449 3.5449 4.4962
angles (deg): 113.22 113.22 90.00
Last column: nearest neighbours and their distance in Å.
Sites, in units of the cell vectors:
1 Ni 0.7500 0.2500 0.5000  4 Ni 2.51, 4 Mn 2.57, 4 W 2.57
2 Ni 0.2500 0.7500 0.5000  4 Ni 2.51, 4 Mn 2.57, 4 W 2.57
3 Mn 0.5000 0.5000 0.0000  4 W 2.51, 8 Ni 2.57
4 W 0.0000 0.0000 0.0000  4 Mn 2.51, 8 Ni 2.57

## Properties
* volume: 46.9 Å³/cell
* space group: No. 139
* calculated density: 12.61 g cm⁻³


Which one sits at the bottom of the stability order? i does.


i | MnNiW2 | GGA-PBEsol | relaxed

a b c (Å): 2.6973 4.5695 4.5559
angles (deg): 99.81 90.00 107.17
Last column: nearest neighbours and their distance in Å.
Sites, in units of the cell vectors:
1 Mn 0.4900 0.9801 0.5057  7 W 2.52-2.74, 3 Ni 2.57-2.81, 2 Mn 2.70
2 Ni 0.7563 0.5125 0.2382  7 W 2.55-2.70, 3 Mn 2.57-2.81, 2 Ni 2.70
3 W 0.0105 0.0210 0.0349  3 Ni 2.55-2.56, 4 Mn 2.57-2.74, 5 W 2.68-2.85
4 W 0.2432 0.4864 0.7212  3 Mn 2.52-2.63, 4 Ni 2.60-2.70, 3 W 2.68-2.70

## Properties
* volume: 52.8 Å³/cell
* space group: No. 8
* calculated density: 15.14 g cm⁻³


ii | MnNiW2 | GGA-PBEsol | relaxed

a b c (Å): 2.6134 2.6134 7.7821
angles (deg): 90.00 90.00 90.00
Last column: nearest neighbours and their distance in Å.
Sites, in units of the cell vectors:
1 Mn 0.5000 0.5000 0.0000  4 Mn 2.61, 8 W 2.71
2 Ni 0.5000 0.5000 0.5000  4 Ni 2.61, 8 W 2.66
3 W 0.0000 0.0000 0.7450  4 W 2.61, 4 Ni 2.66, 4 Mn 2.71
4 W 0.0000 0.0000 0.2550  4 W 2.61, 4 Ni 2.66, 4 Mn 2.71

## Properties
* volume: 53.2 Å³/cell
* space group: No. 123
* calculated density: 15.04 g cm⁻³


Which one sits at the bottom of the stability order? i does.


i | Mn5O8 | GGA-PBEsol | relaxed

a b c (Å): 5.7004 5.7004 5.7498
angles (deg): 60.28 60.28 60.00
Last column: nearest neighbours and their distance in Å.
Sites, in units of the cell vectors:
1 Mn 0.5000 0.5000 0.5000  6 O 2.02
2 Mn 0.0000 0.0000 0.0000  6 O 2.04
3 Mn 0.5000 0.5000 0.0000  6 O 1.90-1.92
4 Mn 0.5000 0.0000 0.0000  6 O 1.90-1.92
5 Mn 0.0000 0.5000 0.0000  6 O 1.90-1.92
6 O 0.2662 0.2662 0.2015  3 Mn 1.90
7 O 0.7487 0.7487 0.2259  4 Mn 1.92-2.04
8 O 0.7487 0.2766 0.2259  4 Mn 1.92-2.04
9 O 0.2766 0.7487 0.2259  4 Mn 1.92-2.04
10 O 0.7234 0.2513 0.7741  4 Mn 1.92-2.04
11 O 0.2513 0.7234 0.7741  4 Mn 1.92-2.04
12 O 0.2513 0.2513 0.7741  4 Mn 1.92-2.04
13 O 0.7338 0.7338 0.7985  3 Mn 1.90

## Properties
* volume: 132.7 Å³/cell
* space group: No. 166
* calculated density: 5.04 g cm⁻³


ii | Mn5O8 | GGA-PBEsol | relaxed

a b c (Å): 4.8332 5.6579 5.7916
angles (deg): 119.24 104.96 90.00
Last column: nearest neighbours and their distance in Å.
Sites, in units of the cell vectors:
1 Mn 0.6396 0.7231 0.4463  5 O 2.01-2.10
2 Mn 0.3604 0.2769 0.5537  5 O 2.01-2.10
3 Mn 0.5000 0.0000 0.0000  6 O 1.90-1.93
4 Mn 0.0000 0.7413 0.0000  6 O 1.86-1.94
5 Mn 0.0000 0.2587 0.0000  6 O 1.86-1.94
6 O 0.6081 0.6550 0.7651  4 Mn 1.92-2.10
7 O 0.3919 0.8900 0.2349  4 Mn 1.92-2.10
8 O 0.6081 0.1100 0.7651  4 Mn 1.92-2.10
9 O 0.3919 0.3450 0.2349  4 Mn 1.92-2.10
10 O 0.8995 0.1035 0.2070  3 Mn 1.90-1.94
11 O 0.1005 0.8965 0.7930  3 Mn 1.90-1.94
12 O 0.9068 0.6040 0.2080  3 Mn 1.86-2.01
13 O 0.0932 0.3960 0.7920  3 Mn 1.86-2.01

## Properties
* volume: 132.0 Å³/cell
* space group: No. 12
* calculated density: 5.07 g cm⁻³


Which one sits at the bottom of the stability order? i does.


i | Mn2PO5 | GGA-PBEsol | relaxed

a b c (Å): 5.4854 5.4854 7.2498
angles (deg): 66.12 66.12 85.84
Last column: nearest neighbours and their distance in Å.
Sites, in units of the cell vectors:
1 Mn 0.0000 0.5000 0.0000  6 O 2.01-2.19
2 Mn 0.5000 0.5000 0.0000  6 O 2.01-2.19
3 Mn 0.5000 0.5000 0.5000  6 O 2.01-2.19
4 Mn 0.5000 0.0000 0.5000  6 O 2.01-2.19
5 P 0.8750 0.1250 0.7500  4 O 1.55
6 P 0.1250 0.8750 0.2500  4 O 1.55
7 O 0.6246 0.3754 0.2500  4 Mn 2.04
8 O 0.3754 0.6246 0.7500  4 Mn 2.04
9 O 0.2006 0.7078 0.1107  1 P 1.55
10 O 0.1811 0.1887 0.6109  1 P 1.55
11 O 0.7078 0.2006 0.6107  1 P 1.55
12 O 0.8113 0.8189 0.8891  1 P 1.55
13 O 0.1887 0.1811 0.1109  1 P 1.55
14 O 0.8189 0.8113 0.3891  1 P 1.55
15 O 0.2922 0.7994 0.3893  1 P 1.55
16 O 0.7994 0.2922 0.8893  1 P 1.55

## Properties
* volume: 181.3 Å³/cell
* space group: No. 15
* calculated density: 4.05 g cm⁻³


ii | Mn2PO5 | GGA-PBEsol | relaxed

a b c (Å): 5.9090 8.2935 8.3879
angles (deg): 90.00 90.00 90.00
Last column: nearest neighbours and their distance in Å.
Sites, in units of the cell vectors:
1 Mn 0.7607 0.0000 0.0000  4 O 1.89-2.04
2 Mn 0.2393 0.0000 0.0000  4 O 1.89-2.04
3 Mn 0.0000 0.6471 0.1315  5 O 1.92-2.10
4 Mn 0.5000 0.1471 0.3685  5 O 1.92-2.10
5 Mn 0.7393 0.5000 0.5000  4 O 1.89-2.04
6 Mn 0.2607 0.5000 0.5000  4 O 1.89-2.04
7 Mn 0.5000 0.8529 0.6315  5 O 1.92-2.10
8 Mn 0.0000 0.3529 0.8685  5 O 1.92-2.10
9 P 0.0000 0.2685 0.2463  4 O 1.54-1.59
10 P 0.5000 0.7685 0.2537  4 O 1.54-1.59
11 P 0.5000 0.2315 0.7463  4 O 1.54-1.59
12 P 0.0000 0.7315 0.7537  4 O 1.54-1.59
13 O 0.5000 0.8666 0.0910  1 P 1.59
14 O 0.0000 0.8724 0.0792  3 Mn 1.89-1.92
15 O 0.0000 0.3997 0.1140  1 P 1.55
16 O 0.7860 0.1631 0.2350  1 P 1.54
17 O 0.2140 0.1631 0.2350  1 P 1.54
18 O 0.7140 0.6631 0.2650  1 P 1.54
19 O 0.2860 0.6631 0.2650  1 P 1.54
20 O 0.5000 0.8997 0.3860  1 P 1.55
21 O 0.5000 0.3724 0.4208  3 Mn 1.89-1.92
22 O 0.0000 0.3666 0.4090  1 P 1.59
23 O 0.0000 0.6334 0.5910  1 P 1.59
24 O 0.5000 0.6276 0.5792  3 Mn 1.89-1.92
25 O 0.5000 0.1003 0.6140  1 P 1.55
26 O 0.7140 0.3369 0.7350  1 P 1.54
27 O 0.2860 0.3369 0.7350  1 P 1.54
28 O 0.7860 0.8369 0.7650  1 P 1.54
29 O 0.2140 0.8369 0.7650  1 P 1.54
30 O 0.0000 0.6003 0.8860  1 P 1.55
31 O 0.0000 0.1276 0.9208  3 Mn 1.89-1.92
32 O 0.5000 0.1334 0.9090  1 P 1.59

## Properties
* volume: 411.1 Å³/cell
* space group: No. 58
* calculated density: 3.57 g cm⁻³


Which one sits at the bottom of the stability order? i does.


i | Mn2PO5 | GGA-PBEsol | relaxed

a b c (Å): 4.9973 6.3513 6.8444
angles (deg): 110.07 102.32 103.67
Last column: nearest neighbours and their distance in Å.
Sites, in units of the cell vectors:
1 Mn 0.8381 0.7356 0.3827  4 O 1.92-1.98
2 Mn 0.6375 0.0556 0.7419  5 O 2.01-2.15
3 Mn 0.3625 0.9444 0.2581  5 O 2.01-2.15
4 Mn 0.1619 0.2644 0.6173  4 O 1.92-1.98
5 P 0.8275 0.6166 0.8155  4 O 1.54-1.57
6 P 0.1725 0.3834 0.1845  4 O 1.54-1.57
7 O 0.9252 0.4493 0.2633  1 P 1.54
8 O 0.7690 0.0439 0.4608  4 Mn 1.93-2.15
9 O 0.9454 0.7848 0.0623  1 P 1.54
10 O 0.5841 0.3873 0.7829  1 P 1.57
11 O 0.6915 0.7351 0.6762  1 P 1.55
12 O 0.3085 0.2649 0.3238  1 P 1.55
13 O 0.4159 0.6127 0.2171  1 P 1.57
14 O 0.0546 0.2152 0.9377  1 P 1.54
15 O 0.2310 0.9561 0.5392  4 Mn 1.93-2.15
16 O 0.0748 0.5507 0.7367  1 P 1.54

## Properties
* volume: 187.7 Å³/cell
* space group: No. 2
* calculated density: 3.91 g cm⁻³


ii | Mn2PO5 | GGA-PBEsol | relaxed

a b c (Å): 6.3033 6.3674 8.4389
angles (deg): 101.95 90.00 90.00
Last column: nearest neighbours and their distance in Å.
Sites, in units of the cell vectors:
1 Mn 0.3743 0.9914 0.8436  6 O 2.03-2.21
2 Mn 0.1257 0.4914 0.8436  6 O 2.03-2.21
3 Mn 0.3558 0.2228 0.5117  4 O 1.89-2.10
4 Mn 0.8558 0.2772 0.4883  4 O 1.89-2.10
5 Mn 0.1442 0.7228 0.5117  4 O 1.89-2.10
6 Mn 0.6442 0.7772 0.4883  4 O 1.89-2.10
7 Mn 0.8743 0.5086 0.1564  6 O 2.03-2.21
8 Mn 0.6257 0.0086 0.1564  6 O 2.03-2.21
9 P 0.9063 0.9945 0.7921  4 O 1.53-1.57
10 P 0.5937 0.4945 0.7921  4 O 1.53-1.57
11 P 0.4063 0.5055 0.2079  4 O 1.53-1.57
12 P 0.0937 0.0055 0.2079  4 O 1.53-1.57
13 O 0.7127 0.9903 0.9013  1 P 1.53
14 O 0.0749 0.1630 0.8628  1 P 1.54
15 O 0.7873 0.4903 0.9013  1 P 1.53
16 O 0.4677 0.2772 0.7506  1 P 1.57
17 O 0.4251 0.6630 0.8628  1 P 1.54
18 O 0.0323 0.7772 0.7506  1 P 1.57
19 O 0.1076 0.3716 0.6015  3 Mn 1.89-2.03
20 O 0.6703 0.5253 0.6214  1 P 1.57
21 O 0.3924 0.8716 0.6015  3 Mn 1.89-2.03
22 O 0.8297 0.0253 0.6214  1 P 1.57
23 O 0.1703 0.9747 0.3786  1 P 1.57
24 O 0.6076 0.1284 0.3985  3 Mn 1.89-2.03
25 O 0.3297 0.4747 0.3786  1 P 1.57
26 O 0.8924 0.6284 0.3985  3 Mn 1.89-2.03
27 O 0.9677 0.2228 0.2494  1 P 1.57
28 O 0.5749 0.3370 0.1372  1 P 1.54
29 O 0.5323 0.7228 0.2494  1 P 1.57
30 O 0.2127 0.5097 0.0987  1 P 1.53
31 O 0.9251 0.8370 0.1372  1 P 1.54
32 O 0.2873 0.0097 0.0987  1 P 1.53

## Properties
* volume: 331.4 Å³/cell
* space group: No. 14
* calculated density: 4.43 g cm⁻³


Which one sits at the bottom of the stability order? ii does.


i | MnP3O9 | GGA-PBEsol | relaxed

a b c (Å): 6.9489 7.0811 6.9381
angles (deg): 85.20 88.67 74.29
Last column: nearest neighbours and their distance in Å.
Sites, in units of the cell vectors:
1 Mn 0.4207 0.8606 0.8425  5 O 1.86-2.06
2 Mn 0.5793 0.1394 0.1575  5 O 1.86-2.06
3 P 0.2622 0.5520 0.1274  4 O 1.51-1.60
4 P 0.7378 0.4480 0.8726  4 O 1.51-1.60
5 P 0.8929 0.7611 0.3195  4 O 1.46-1.63
6 P 0.1071 0.2389 0.6805  4 O 1.46-1.63
7 P 0.4791 0.7734 0.3528  4 O 1.48-1.59
8 P 0.5209 0.2266 0.6472  4 O 1.48-1.59
9 O 0.7119 0.3293 0.0570  1 P 1.51
10 O 0.2881 0.6707 0.9430  1 P 1.51
11 O 0.3287 0.3312 0.1200  1 P 1.51
12 O 0.6713 0.6688 0.8800  1 P 1.51
13 O 0.0356 0.6022 0.1850  2 P 1.57-1.63
14 O 0.9644 0.3978 0.8150  2 P 1.57-1.63
15 O 0.8195 0.9444 0.1776  1 P 1.54
16 O 0.1805 0.0556 0.8224  1 P 1.54
17 O 0.4351 0.9362 0.1863  1 P 1.54
18 O 0.5649 0.0638 0.8137  1 P 1.54
19 O 0.3764 0.6082 0.3017  2 P 1.59-1.60
20 O 0.6236 0.3918 0.6983  2 P 1.59-1.60
21 O 0.7096 0.6584 0.3416  2 P 1.59-1.63
22 O 0.2904 0.3416 0.6584  2 P 1.59-1.63
23 O 0.5808 0.1711 0.4492  1 P 1.48
24 O 0.4192 0.8289 0.5508  1 P 1.48
25 O 0.0139 0.2306 0.4962  1 P 1.46
26 O 0.9861 0.7694 0.5038  1 P 1.46

## Properties
* volume: 327.5 Å³/cell
* space group: No. 2
* calculated density: 2.96 g cm⁻³


ii | MnP3O9 | GGA-PBEsol | relaxed

a b c (Å): 6.5638 6.5722 9.6662
angles (deg): 91.32 90.00 119.96
Last column: nearest neighbours and their distance in Å.
Sites, in units of the cell vectors:
1 Mn 0.3134 0.6665 0.9999  4 O 1.90-1.94
2 Mn 0.3531 0.6665 0.4999  4 O 1.90-1.94
3 P 0.7209 0.9315 0.7360  4 O 1.48-1.61
4 P 0.2106 0.9315 0.2360  4 O 1.48-1.61
5 P 0.7034 0.7826 0.2485  4 O 1.50-1.60
6 P 0.0793 0.7826 0.7485  4 O 1.50-1.60
7 P 0.2281 0.2887 0.7658  4 O 1.48-1.60
8 P 0.0605 0.2887 0.2658  4 O 1.48-1.60
9 O 0.9307 0.7574 0.2359  2 P 1.59-1.61
10 O 0.8267 0.7574 0.7360  2 P 1.59-1.61
11 O 0.5739 0.8952 0.8593  1 P 1.48
12 O 0.3213 0.8952 0.3593  1 P 1.48
13 O 0.6128 0.9178 0.5949  1 P 1.52
14 O 0.3050 0.9178 0.0949  1 P 1.52
15 O 0.5722 0.7003 0.1135  1 P 1.50
16 O 0.1281 0.7003 0.6135  1 P 1.50
17 O 0.5760 0.6529 0.3755  1 P 1.51
18 O 0.0769 0.6529 0.8755  1 P 1.51
19 O 0.9513 0.1848 0.7432  2 P 1.59-1.60
20 O 0.2335 0.1848 0.2431  2 P 1.59-1.60
21 O 0.8062 0.0583 0.2711  2 P 1.60
22 O 0.2520 0.0582 0.7712  2 P 1.60
23 O 0.3593 0.4325 0.6465  1 P 1.48
24 O 0.0732 0.4326 0.1465  1 P 1.48
25 O 0.2983 0.3987 0.9097  1 P 1.51
26 O 0.1004 0.3987 0.4097  1 P 1.51

## Properties
* volume: 361.2 Å³/cell
* space group: No. 9
* calculated density: 2.68 g cm⁻³


Which one sits at the bottom of the stability order? i does.


i | RbMnPO2 | GGA-PBEsol | relaxed

a b c (Å): 3.9783 3.9783 4.4273
angles (deg): 90.00 90.00 90.00
Last column: nearest neighbours and their distance in Å.
Sites, in units of the cell vectors:
1 P 0.0000 0.0000 0.5000  2 Mn 2.21
2 Mn 0.0000 0.0000 0.0000  4 O 1.99, 2 P 2.21
3 O 0.0000 0.5000 0.0000  2 Mn 1.99
4 O 0.5000 0.0000 0.0000  2 Mn 1.99
5 Rb 0.5000 0.5000 0.5000  4 P 2.81, 8 O 2.98

## Properties
* volume: 70.1 Å³/cell
* space group: No. 123
* calculated density: 4.82 g cm⁻³


ii | RbMnPO2 | GGA-PBEsol | relaxed

a b c (Å): 4.0752 4.0752 6.1790
angles (deg): 90.00 90.00 90.00
Last column: nearest neighbours and their distance in Å.
Sites, in units of the cell vectors:
1 P 0.0000 0.0000 0.5000  4 Mn 2.88, 2 Rb 3.09
2 Mn 0.5000 0.5000 0.5000  4 P 2.88
3 O 0.0000 0.5000 0.0000  2 Rb 2.04
4 O 0.5000 0.0000 0.0000  2 Rb 2.04
5 Rb 0.0000 0.0000 0.0000  4 O 2.04

## Properties
* volume: 102.6 Å³/cell
* space group: No. 123
* calculated density: 3.29 g cm⁻³


Which one sits at the bottom of the stability order? ii does.


i | Sr4MnRuO8 | GGA-PBEsol | relaxed

a b c (Å): 5.4546 5.4512 6.7644
angles (deg): 66.24 90.00 90.00
Last column: nearest neighbours and their distance in Å.
Sites, in units of the cell vectors:
1 Sr 0.0000 0.6423 0.7153  5 O 2.44-2.61
2 Sr 0.5000 0.1443 0.7115  9 O 2.47-2.73
3 Sr 0.5000 0.8557 0.2885  9 O 2.47-2.73
4 Sr 0.0000 0.3577 0.2847  5 O 2.44-2.61
5 Mn 0.5000 0.5000 0.0000  6 O 1.89-1.93
6 Ru 0.0000 0.0000 0.0000  6 O 1.96-1.99
7 O 0.2547 0.2540 0.0000  1 Mn 1.89, 1 Ru 1.96
8 O 0.7453 0.7460 0.0000  1 Mn 1.89, 1 Ru 1.96
9 O 0.2547 0.7460 0.0000  1 Mn 1.89, 1 Ru 1.96
10 O 0.7453 0.2540 0.0000  1 Mn 1.89, 1 Ru 1.96
11 O 0.0000 0.8394 0.3212  1 Ru 1.99
12 O 0.5000 0.3438 0.3124  1 Mn 1.93
13 O 0.5000 0.6562 0.6876  1 Mn 1.93
14 O 0.0000 0.1606 0.6788  1 Ru 1.99

## Properties
* volume: 184.1 Å³/cell
* space group: No. 65
* calculated density: 5.72 g cm⁻³


ii | Sr4MnRuO8 | GGA-PBEsol | relaxed

a b c (Å): 3.8112 3.8112 12.5543
angles (deg): 90.00 90.00 90.00
Last column: nearest neighbours and their distance in Å.
Sites, in units of the cell vectors:
1 Sr 0.5000 0.5000 0.1389  9 O 2.48-2.70
2 Sr 0.0000 0.0000 0.6530  9 O 2.42-2.71
3 Sr 0.0000 0.0000 0.3470  9 O 2.42-2.71
4 Sr 0.5000 0.5000 0.8611  9 O 2.48-2.70
5 Mn 0.0000 0.0000 0.0000  6 O 1.91-1.94
6 Ru 0.5000 0.5000 0.5000  6 O 1.91-2.06
7 O 0.5000 0.0000 0.5000  2 Ru 1.91
8 O 0.0000 0.5000 0.0000  2 Mn 1.91
9 O 0.5000 0.0000 0.0000  2 Mn 1.91
10 O 0.0000 0.5000 0.5000  2 Ru 1.91
11 O 0.5000 0.5000 0.3362  1 Ru 2.06
12 O 0.0000 0.0000 0.8455  1 Mn 1.94
13 O 0.0000 0.0000 0.1545  1 Mn 1.94
14 O 0.5000 0.5000 0.6638  1 Ru 2.06

## Properties
* volume: 182.4 Å³/cell
* space group: No. 123
* calculated density: 5.78 g cm⁻³


Which one sits at the bottom of the stability order? i does.